Entry 1:
ZrZn4 after structural relaxation. Source: the Alexandria database, functional PBE.

abc: 8.741 8.741 8.741
angles: 90.00 90.00 90.00
Space group I-43m (No. 217)
One atom of each set of equivalent atoms:
Zr 0.220 0.220 0.780 (multiplicity 8)
Zn 0.000 0.000 0.346 (multiplicity 12)
Zn 0.000 0.250 0.500 (multiplicity 12)
Zn 0.103 0.103 0.103 (multiplicity 8)

Summary:
ΔE_f (eV per atom): -0.07

Entry 2:
Zr5Zn3 after structural relaxation. Source: the Alexandria database, functional PBE.

abc: 5.260 15.582 8.220
angles: 90.00 108.60 90.00
Space group C2/m (No. 12)
One atom of each set of equivalent atoms:
Zr 0.100 0.181 0.199 (multiplicity 8)
Zr 0.181 0.400 0.361 (multiplicity 8)
Zr 0.250 0.000 0.999 (multiplicity 4)
Zn 0.000 0.250 0.500 (multiplicity 4)
Zn 0.000 0.336 0.000 (multiplicity 4)
Zn 0.164 0.000 0.328 (multiplicity 4)

Summary:
ΔE_f (eV per atom): -0.16

Entry 3:
ZrZn3 after structural relaxation. Source: the Alexandria database, functional PBE.

abc: 3.023 3.023 7.333
angles: 90.00 90.00 90.00
Space group P4/mmm (No. 123)
One atom of each set of equivalent atoms:
Zr 0.000 0.000 0.000 (multiplicity 1)
Zn 0.000 0.000 0.500 (multiplicity 1)
Zn 0.500 0.500 0.274 (multiplicity 2)

Summary:
ΔE_f (eV per atom): -0.16

Entry 4:
Zr3Zn5 after structural relaxation. Source: the Alexandria database, functional PBE.

abc: 18.285 3.110 5.043
angles: 90.00 90.30 90.00
Space group C2/m (No. 12)
One atom of each set of equivalent atoms:
Zr 0.000 0.000 0.000 (multiplicity 2)
Zr 0.131 0.000 0.607 (multiplicity 4)
Zn 0.000 0.500 0.500 (multiplicity 2)
Zn 0.132 0.500 0.107 (multiplicity 4)
Zn 0.244 0.000 0.219 (multiplicity 4)

Summary:
ΔE_f (eV per atom): -0.18